Record 1
Compound: La4YTl
Source: Alexandria via LeMat-Bulk
Functional: GGA-PBE
Structure: optimized geometry

a = 6.665 Å, b = 6.665 Å, c = 6.665 Å
α = 60.00°, β = 60.00°, γ = 60.00°
Fractional coordinates of all 6 atoms:
La  0.125  0.125  0.125
La  0.125  0.125  0.625
La  0.125  0.625  0.125
La  0.625  0.125  0.125
Y  0.500  0.500  0.500
Tl  0.750  0.750  0.750

## Properties
- N(E_F): 9.6 states/eV/cell
- Symmetry: No. 216
- ΔH_f (0 K): 1.08 eV/f.u.
- Theoretical density: 6.73 g cm⁻³

Record 2
Compound: TbBe2ZnAu4
Source: Alexandria via LeMat-Bulk
Functional: GGA-PBE
Structure: optimized geometry

a = 9.315 Å, b = 9.315 Å, c = 9.315 Å
α = 26.15°, β = 26.15°, γ = 26.15°
Fractional coordinates of all 8 atoms:
Tb  0.000  0.000  0.000
Be  0.242  0.242  0.242
Be  0.758  0.758  0.758
Zn  0.500  0.500  0.500
Au  0.126  0.126  0.126
Au  0.399  0.399  0.399
Au  0.601  0.601  0.601
Au  0.874  0.874  0.874

## Properties
- N(E_F): 3.0 states/eV/cell
- Symmetry: No. 166
- ΔH_f (0 K): -2.38 eV/f.u.
- Theoretical density: 12.37 g cm⁻³

Record 3
Compound: Pm2Sm5YTh
Source: Alexandria via LeMat-Bulk
Functional: GGA-PBE
Structure: optimized geometry

a = 10.679 Å, b = 10.679 Å, c = 10.544 Å
α = 90.00°, β = 90.00°, γ = 149.05°
Fractional coordinates of all 18 atoms:
Pm  0.115  0.885  0.500
Pm  0.115  0.885  0.917
Pm  0.885  0.115  0.000
Pm  0.885  0.115  0.417
Sm  0.015  0.985  0.203
Sm  0.274  0.726  0.500
Sm  0.296  0.704  0.891
Sm  0.386  0.614  0.210
Sm  0.481  0.519  0.928
Sm  0.519  0.481  0.428
Sm  0.614  0.386  0.710
Sm  0.704  0.296  0.391
Sm  0.726  0.274  0.000
Sm  0.985  0.015  0.703
Y  0.406  0.594  0.641
Y  0.594  0.406  0.141
Th  0.199  0.801  0.198
Th  0.801  0.199  0.698

## Properties
- N(E_F): 27.7 states/eV/cell
- Symmetry: No. 36
- ΔH_f (0 K): 1.40 eV/f.u.
- Theoretical density: 7.32 g cm⁻³

Q: N(E_F) of number 3 (Pm2Sm5YTh)?
A: 27.7 states/eV/cell

Q: What is the formula in the third record?
A: Pm2Sm5YTh

Q: Number 2 is which compound?
A: TbBe2ZnAu4